1.
This record from Alexandria via LeMat-Bulk describes a relaxed LaTb2Sm2 crystal. The functional is PBE-GGA.

a = 9.532 Å, b = 9.532 Å, c = 3.810 Å
α = 90.00°, β = 90.00°, γ = 90.00°
Element x y z (fractional)
La  0.000  0.000  0.000
La  0.500  0.500  0.000
Tb  0.170  0.670  0.500
Tb  0.670  0.830  0.500
Tb  0.830  0.330  0.500
Tb  0.330  0.170  0.500
Sm  0.373  0.873  0.000
Sm  0.873  0.627  0.000
Sm  0.627  0.127  0.000
Sm  0.127  0.373  0.000

Values from the calculation:
Its space group is P4/mbm, No. 127. The distance to the lowest polymorph of the same formula comes out at 0 meV per atom. The density of states at the Fermi level is 11.8 states/eV per cell.



2.
This record from Alexandria via LeMat-Bulk describes a relaxed La4Tb5Sm2 crystal. The functional is PBE-GGA.

a = 3.566 Å, b = 11.840 Å, c = 9.129 Å
α = 94.45°, β = 101.26°, γ = 90.00°
Element x y z (fractional)
La  0.359  0.203  0.718
La  0.963  0.739  0.926
La  0.641  0.797  0.282
La  0.037  0.261  0.074
Tb  0.903  0.460  0.807
Tb  0.097  0.540  0.193
Tb  0.822  0.930  0.644
Tb  0.500  0.000  0.000
Tb  0.178  0.070  0.356
Sm  0.715  0.356  0.430
Sm  0.285  0.644  0.570

Values from the calculation:
Its space group is C2/m, No. 12. The distance to the lowest polymorph of the same formula comes out at 0 meV per atom. The density of states at the Fermi level is 17.0 states/eV per cell.



3.
This record from Alexandria via LeMat-Bulk describes a relaxed La8Tb6Sm crystal. The functional is PBE-GGA.

a = 6.702 Å, b = 9.503 Å, c = 9.503 Å
α = 120.00°, β = 90.00°, γ = 90.00°
Element x y z (fractional)
La  0.833  0.043  0.293
La  0.833  0.707  0.750
La  0.833  0.250  0.957
La  0.167  0.957  0.707
La  0.167  0.293  0.250
La  0.167  0.750  0.043
La  0.882  0.333  0.667
La  0.118  0.667  0.333
Tb  0.652  0.660  0.097
Tb  0.652  0.903  0.563
Tb  0.652  0.437  0.340
Tb  0.348  0.340  0.903
Tb  0.348  0.097  0.437
Tb  0.348  0.563  0.660
Sm  0.500  0.000  0.000

Values from the calculation:
Its space group is P-3, No. 147. The density of states at the Fermi level is 26.4 states/eV per cell.



4.
This record from Alexandria via LeMat-Bulk describes a relaxed La8Tb3Sm crystal. The functional is PBE-GGA.

a = 8.823 Å, b = 8.823 Å, c = 8.823 Å
α = 96.47°, β = 134.20°, γ = 100.95°
Element x y z (fractional)
La  0.503  0.225  0.278
La  0.497  0.775  0.722
La  0.053  0.775  0.278
La  0.947  0.225  0.722
La  0.164  0.415  0.252
La  0.836  0.088  0.252
La  0.836  0.585  0.748
La  0.164  0.912  0.748
Tb  0.500  0.764  0.264
Tb  0.500  0.236  0.736
Tb  0.000  0.500  0.500
Sm  0.000  0.000  0.000

Values from the calculation:
Its space group is Immm, No. 71. The density of states at the Fermi level is 18.8 states/eV per cell.



5.
This record from Alexandria via LeMat-Bulk describes a relaxed La5Tb2Sm5 crystal. The functional is PBE-GGA.

a = 5.197 Å, b = 10.947 Å, c = 8.231 Å
α = 98.74°, β = 71.60°, γ = 76.27°
Element x y z (fractional)
La  0.666  0.253  0.416
La  0.996  0.253  0.754
La  0.004  0.747  0.246
La  0.334  0.747  0.584
La  0.000  0.000  0.000
Tb  0.332  0.500  0.835
Tb  0.668  0.500  0.165
Sm  0.000  0.500  0.500
Sm  0.669  0.746  0.916
Sm  0.333  0.000  0.335
Sm  0.667  0.000  0.665
Sm  0.331  0.254  0.084

Values from the calculation:
Its space group is C2/m, No. 12. The density of states at the Fermi level is 21.0 states/eV per cell.



6.
This record from Alexandria via LeMat-Bulk describes a relaxed LaTb4Sm5 crystal. The functional is PBE-GGA.

a = 3.620 Å, b = 10.226 Å, c = 9.546 Å
α = 105.74°, β = 100.82°, γ = 90.12°
Element x y z (fractional)
La  0.500  0.000  0.000
Tb  0.701  0.100  0.401
Tb  0.101  0.302  0.202
Tb  0.299  0.900  0.599
Tb  0.899  0.698  0.798
Sm  0.700  0.600  0.400
Sm  0.102  0.800  0.203
Sm  0.898  0.200  0.797
Sm  0.500  0.500  0.000
Sm  0.300  0.400  0.600

Values from the calculation:
Its space group is P-1, No. 2. The distance to the lowest polymorph of the same formula comes out at 0 meV per atom. The density of states at the Fermi level is 13.6 states/eV per cell.



7.
This record from Alexandria via LeMat-Bulk describes a relaxed La7TbSm12 crystal. The functional is PBE-GGA.

a = 9.996 Å, b = 9.996 Å, c = 9.996 Å
α = 109.47°, β = 109.47°, γ = 109.47°
Element x y z (fractional)
La  0.500  0.000  0.500
La  0.500  0.500  0.000
La  0.000  0.500  0.500
La  0.500  0.500  0.500
La  0.000  0.500  0.000
La  0.000  0.000  0.500
La  0.500  0.000  0.000
Tb  0.000  0.000  0.000
Sm  0.754  0.753  0.506
Sm  0.754  0.247  0.001
Sm  0.246  0.247  0.494
Sm  0.246  0.753  0.999
Sm  0.999  0.246  0.753
Sm  0.506  0.754  0.753
Sm  0.001  0.754  0.247
Sm  0.494  0.246  0.247
Sm  0.753  0.506  0.754
Sm  0.247  0.494  0.246
Sm  0.247  0.001  0.754
Sm  0.753  0.999  0.246

Values from the calculation:
Its space group is Im-3, No. 204. The distance to the lowest polymorph of the same formula comes out at 363 meV per atom. The density of states at the Fermi level is 34.5 states/eV per cell.



8.
This record from Alexandria via LeMat-Bulk describes a relaxed La3TbSm6 crystal. The functional is PBE-GGA.

a = 6.474 Å, b = 11.193 Å, c = 11.193 Å
α = 120.63°, β = 90.00°, γ = 90.00°
Element x y z (fractional)
La  0.466  0.941  0.710
La  0.966  0.710  0.941
La  0.076  0.386  0.614
La  0.576  0.614  0.386
La  0.966  0.059  0.290
La  0.466  0.290  0.059
Tb  0.114  0.190  0.810
Tb  0.614  0.810  0.190
Sm  0.055  0.715  0.626
Sm  0.555  0.626  0.715
Sm  0.368  0.526  0.945
Sm  0.868  0.945  0.526
Sm  0.367  0.965  0.035
Sm  0.650  0.276  0.724
Sm  0.150  0.724  0.276
Sm  0.867  0.035  0.965
Sm  0.368  0.055  0.474
Sm  0.868  0.474  0.055
Sm  0.055  0.374  0.285
Sm  0.555  0.285  0.374

Values from the calculation:
Its space group is Cmc2_1, No. 36. The distance to the lowest polymorph of the same formula comes out at 0 meV per atom. The density of states at the Fermi level is 27.8 states/eV per cell.



Number 1: uncorrected energy -4.6433 eV per atom, energy of formation from the pure elements 0.082 eV/atom, magnetic moment 0.0 μB/f.u.. Number 2: uncorrected energy -4.6729 eV per atom, energy of formation from the pure elements 0.082 eV/atom, magnetic moment 0.0 μB/f.u.. Number 3: uncorrected energy -4.6301 eV per atom, energy of formation from the pure elements 0.165 eV/atom, magnetic moment 0.0 μB/f.u.. Number 4: uncorrected energy -4.5258 eV per atom, energy of formation from the pure elements 0.310 eV/atom, magnetic moment 0.0 μB/f.u.. Number 5: uncorrected energy -4.7688 eV per atom, energy of formation from the pure elements 0.022 eV/atom, magnetic moment 0.0 μB/f.u.. Number 6: uncorrected energy -4.6879 eV per atom, energy of formation from the pure elements 0.016 eV/atom, magnetic moment 0.0 μB/f.u.. Number 7: uncorrected energy -4.2146 eV per atom, energy of formation from the pure elements 0.573 eV/atom, magnetic moment 0.0 μB/f.u.. Number 8: uncorrected energy -4.6349 eV per atom, energy of formation from the pure elements 0.138 eV/atom, magnetic moment 0.0 μB/f.u..